# 1
Computed, not measured: a relaxed ZnPtNO crystal at the PBE level of DFT.

Cell: 3.965 3.965 6.704 Å, 90.00 90.00 90.00°
Fractional positions:
Zn  0.250  0.250  0.075
Zn  0.750  0.750  0.925
Pt  0.250  0.750  0.500
Pt  0.750  0.250  0.500
N  0.250  0.250  0.393
N  0.750  0.750  0.607
O  0.250  0.750  0.000
O  0.750  0.250  0.000

As for the energy above the most stable polymorph in this dataset: 158 meV per atom.

---

# 2
Computed, not measured: a relaxed ZnPtNO crystal at the PBE level of DFT.

Cell: 4.488 4.488 4.278 Å, 90.00 90.00 90.00°
Fractional positions:
Zn  0.250  0.750  0.000
Zn  0.750  0.250  0.000
Pt  0.250  0.250  0.497
Pt  0.750  0.750  0.503
N  0.250  0.250  0.996
N  0.750  0.750  0.004
O  0.250  0.750  0.500
O  0.750  0.250  0.500

As for the energy above the most stable polymorph in this dataset: 386 meV per atom.

---

# 3
Computed, not measured: a relaxed ZnPtNO crystal at the PBE level of DFT.

Cell: 2.944 5.913 5.748 Å, 90.00 90.00 90.00°
Fractional positions:
Zn  0.000  0.175  0.000
Zn  0.000  0.825  0.500
Pt  0.500  0.272  0.467
Pt  0.500  0.728  0.967
N  0.000  0.134  0.658
N  0.000  0.866  0.158
O  0.500  0.370  0.123
O  0.500  0.630  0.623

As for the energy above the most stable polymorph in this dataset: 205 meV per atom.

---

# 4
Computed, not measured: a relaxed ZrPtNO crystal at the PBE level of DFT.

Cell: 3.829 6.499 5.170 Å, 90.00 90.00 90.00°
Fractional positions:
Zr  0.000  0.186  0.000
Zr  0.000  0.814  0.500
Pt  0.500  0.463  0.566
Pt  0.500  0.537  0.066
N  0.500  0.262  0.850
N  0.500  0.738  0.350
O  0.000  0.104  0.370
O  0.000  0.896  0.870

As for the energy above the most stable polymorph in this dataset: 0 meV per atom.

---

# 5
Computed, not measured: a relaxed ZrPtNO crystal at the PBE level of DFT.

Cell: 4.632 4.632 4.475 Å, 90.00 90.00 90.00°
Fractional positions:
Zr  0.250  0.750  0.000
Zr  0.750  0.250  0.000
Pt  0.250  0.250  0.425
Pt  0.750  0.750  0.575
N  0.250  0.250  0.931
N  0.750  0.750  0.069
O  0.250  0.750  0.500
O  0.750  0.250  0.500

As for the energy above the most stable polymorph in this dataset: 470 meV per atom.

---

# 6
Computed, not measured: a relaxed ZrPtNO crystal at the PBE level of DFT.

Cell: 3.573 3.573 7.557 Å, 90.00 90.00 90.00°
Fractional positions:
Zr  0.250  0.250  0.168
Zr  0.750  0.750  0.832
Pt  0.250  0.750  0.500
Pt  0.750  0.250  0.500
N  0.250  0.250  0.731
N  0.750  0.750  0.269
O  0.250  0.750  0.000
O  0.750  0.250  0.000

As for the energy above the most stable polymorph in this dataset: 456 meV per atom.

---

# 7
Computed, not measured: a relaxed ZrPtNO crystal at the PBE level of DFT.

Cell: 3.429 6.006 6.123 Å, 90.00 90.00 90.00°
Fractional positions:
Zr  0.000  0.209  0.000
Zr  0.000  0.791  0.500
Pt  0.500  0.242  0.403
Pt  0.500  0.758  0.903
N  0.000  0.087  0.325
N  0.000  0.913  0.825
O  0.500  0.362  0.894
O  0.500  0.638  0.394

As for the energy above the most stable polymorph in this dataset: 221 meV per atom.

---

# 8
Computed, not measured: a relaxed ZrPtNO crystal at the PBE level of DFT.

Cell: 5.542 7.642 5.043 Å, 90.00 90.00 90.00°
Fractional positions:
Zr  0.028  0.172  0.000
Zr  0.472  0.172  0.500
Zr  0.528  0.828  0.000
Zr  0.972  0.828  0.500
Pt  0.053  0.566  0.990
Pt  0.447  0.566  0.490
Pt  0.553  0.434  0.990
Pt  0.947  0.434  0.490
N  0.249  0.723  0.745
N  0.251  0.723  0.245
N  0.749  0.277  0.745
N  0.751  0.277  0.245
O  0.127  0.064  0.613
O  0.373  0.064  0.113
O  0.627  0.936  0.613
O  0.873  0.936  0.113

As for the energy above the most stable polymorph in this dataset: 98 meV per atom.

---

# 9
Computed, not measured: a relaxed RbTcNO crystal at the PBE level of DFT.

Cell: 4.332 4.332 7.784 Å, 90.00 90.00 90.76°
Fractional positions:
Rb  0.250  0.250  0.000
Rb  0.750  0.750  0.000
Tc  0.250  0.750  0.566
Tc  0.750  0.250  0.434
N  0.250  0.750  0.788
N  0.750  0.250  0.212
O  0.250  0.250  0.500
O  0.750  0.750  0.500

As for the energy above the most stable polymorph in this dataset: 638 meV per atom.

---

# 10
Computed, not measured: a relaxed RbTcNO crystal at the PBE level of DFT.

Cell: 6.408 8.513 5.196 Å, 90.00 90.00 90.00°
Fractional positions:
Rb  0.089  0.165  0.000
Rb  0.411  0.165  0.500
Rb  0.589  0.835  0.000
Rb  0.911  0.835  0.500
Tc  0.148  0.623  0.002
Tc  0.352  0.623  0.502
Tc  0.648  0.377  0.002
Tc  0.852  0.377  0.502
N  0.080  0.816  0.995
N  0.420  0.816  0.495
N  0.580  0.184  0.995
N  0.920  0.184  0.495
O  0.084  0.514  0.644
O  0.416  0.514  0.144
O  0.584  0.486  0.644
O  0.916  0.486  0.144

As for the energy above the most stable polymorph in this dataset: 153 meV per atom.

---

# 11
Computed, not measured: a relaxed RbTcNO crystal at the PBE level of DFT.

Cell: 3.696 3.696 10.757 Å, 90.00 90.00 90.00°
Fractional positions:
Rb  0.250  0.250  0.181
Rb  0.750  0.750  0.819
Tc  0.250  0.750  0.500
Tc  0.750  0.250  0.500
N  0.250  0.250  0.584
N  0.750  0.750  0.416
O  0.250  0.750  0.000
O  0.750  0.250  0.000

As for the energy above the most stable polymorph in this dataset: 800 meV per atom.

---

# 12
Computed, not measured: a relaxed RbTcNO crystal at the PBE level of DFT.

Cell: 3.463 6.871 6.107 Å, 90.00 90.00 90.00°
Fractional positions:
Rb  0.000  0.198  0.000
Rb  0.000  0.802  0.500
Tc  0.500  0.351  0.499
Tc  0.500  0.649  0.999
N  0.500  0.493  0.754
N  0.500  0.507  0.254
O  0.000  0.205  0.492
O  0.000  0.795  0.992

As for the energy above the most stable polymorph in this dataset: 0 meV per atom.